Entry 1:
Computed, not measured: a relaxed CrCdRuN2 crystal at the GGA-PBE level of DFT.

The structure in POSCAR format:
```
CrCdRuN2
1.0
3.769 0.000 0.000
0.000 3.769 0.000
0.000 0.000 4.935
Cr Cd Ru N
1 1 1 2
direct
0.000 0.000 0.000
0.500 0.500 0.500
0.000 0.000 0.500
0.000 0.500 0.000
0.500 0.000 0.000
```

Its space-group type is P4/mmm, No. 123. The formation energy without anion corrections comes out at 0.98 eV/atom.

=====

Entry 2:
Computed, not measured: a relaxed Sc2NiHg crystal at the GGA-PBE level of DFT.

The structure in POSCAR format:
```
Sc2NiHg
1.0
-2.060 2.060 4.399
2.060 -2.060 4.399
2.060 2.060 -4.399
Sc Ni Hg
2 1 1
direct
0.000 0.000 0.000
0.750 0.250 0.500
0.500 0.500 0.000
0.250 0.750 0.500
```

The formation energy is -85 kJ/mol of formula units. Its space-group type is I-4m2, No. 119.